No. 1
An optimized crystal structure of MnTcNi2, computed with PBE-GGA.

Total energy (eV per atom): -7.7459
ρ (Mg/m³): 9.20
Calculated volume (Å³/atom): 12.20
E above lowest polymorph (eV per atom): 0.033

The structure in CIF format:
```
data_MnTcNi2
_chemical_formula_sum 'Mn1 Tc1 Ni2'
_symmetry_space_group_name_H-M 'P 1'
_symmetry_Int_Tables_number 1
_cell_length_a 4.515
_cell_length_b 4.515
_cell_length_c 2.573
_cell_angle_alpha 90.00
_cell_angle_beta 90.00
_cell_angle_gamma 111.56
loop_
_symmetry_equiv_pos_as_xyz
'x,y,z'
loop_
_atom_site_label
_atom_site_type_symbol
_atom_site_fract_x
_atom_site_fract_y
_atom_site_fract_z
_atom_site_occupancy
Mn1 Mn 0.000 0.500 0.500 1
Ni1 Ni 0.000 0.000 0.000 1
Ni2 Ni 0.500 0.500 0.000 1
Tc1 Tc 0.500 0.000 0.500 1
```


No. 2
An optimized crystal structure of Mn2TcNi, computed with PBE-GGA.

Total energy (eV per atom): -8.5255
ρ (Mg/m³): 9.24
Calculated volume (Å³/atom): 11.97

The structure in CIF format:
```
data_Mn2TcNi
_chemical_formula_sum 'Mn2 Tc1 Ni1'
_symmetry_space_group_name_H-M 'P 1'
_symmetry_Int_Tables_number 1
_cell_length_a 4.409
_cell_length_b 4.409
_cell_length_c 4.464
_cell_angle_alpha 81.17
_cell_angle_beta 81.17
_cell_angle_gamma 33.99
loop_
_symmetry_equiv_pos_as_xyz
'x,y,z'
loop_
_atom_site_label
_atom_site_type_symbol
_atom_site_fract_x
_atom_site_fract_y
_atom_site_fract_z
_atom_site_occupancy
Mn1 Mn 0.996 0.996 0.014 1
Mn2 Mn 0.504 0.504 0.486 1
Ni1 Ni 0.250 0.250 0.250 1
Tc1 Tc 0.750 0.750 0.750 1
```


No. 3
An optimized crystal structure of Mn4TcNi, computed with PBE-GGA.

Total energy (eV per atom): -8.7216
ρ (Mg/m³): 8.92
Calculated volume (Å³/atom): 11.68

The structure in CIF format:
```
data_Mn4TcNi
_chemical_formula_sum 'Mn4 Tc1 Ni1'
_symmetry_space_group_name_H-M 'P 1'
_symmetry_Int_Tables_number 1
_cell_length_a 4.627
_cell_length_b 4.627
_cell_length_c 4.627
_cell_angle_alpha 60.00
_cell_angle_beta 60.00
_cell_angle_gamma 60.00
loop_
_symmetry_equiv_pos_as_xyz
'x,y,z'
loop_
_atom_site_label
_atom_site_type_symbol
_atom_site_fract_x
_atom_site_fract_y
_atom_site_fract_z
_atom_site_occupancy
Mn1 Mn 0.623 0.623 0.130 1
Mn2 Mn 0.623 0.130 0.623 1
Mn3 Mn 0.623 0.623 0.623 1
Mn4 Mn 0.130 0.623 0.623 1
Tc1 Tc 0.000 0.000 0.000 1
Ni1 Ni 0.250 0.250 0.250 1
```


No. 4
An optimized crystal structure of MnTcNi2, computed with PBE-GGA.

Total energy (eV per atom): -7.7628
ρ (Mg/m³): 9.21
Calculated volume (Å³/atom): 12.18
E above lowest polymorph (eV per atom): 0.016

The structure in CIF format:
```
data_MnTcNi2
_chemical_formula_sum 'Mn1 Tc1 Ni2'
_symmetry_space_group_name_H-M 'P 1'
_symmetry_Int_Tables_number 1
_cell_length_a 3.726
_cell_length_b 2.577
_cell_length_c 5.692
_cell_angle_alpha 63.09
_cell_angle_beta 90.00
_cell_angle_gamma 90.00
loop_
_symmetry_equiv_pos_as_xyz
'x,y,z'
loop_
_atom_site_label
_atom_site_type_symbol
_atom_site_fract_x
_atom_site_fract_y
_atom_site_fract_z
_atom_site_occupancy
Mn1 Mn 0.500 0.750 0.750 1
Ni1 Ni 0.000 0.999 0.000 1
Ni2 Ni 0.000 0.501 0.500 1
Tc1 Tc 0.500 0.250 0.250 1
```